Nd3Mg3Pt2Au PBE relaxed; crystal system = orthorhombic; density = 8.72 g/cm3; raw total energy = -4.63 eV/atom
1.0
-2.847 1.383 2.661
-4.001 -6.420 -0.943
5.305 0.416 5.459
Au Mg Nd Pt
1 3 3 2
direct
0.000 0.999 0.999
0.500 0.246 0.246
0.500 0.999 0.754
0.500 0.754 0.999
0.000 0.417 0.000
0.000 0.000 0.417
0.000 0.583 0.583
0.500 0.666 0.335
0.500 0.335 0.666